[1]
{"formula": "CaUSiO6", "functional": "PBE", "state": "relaxed", "final_energy_ev_per_atom": -8.2913, "n_ef_per_ev_cell": 0.0, "total_magnetization_mub_per_cell": 0.00, "sg": "P-31c, No. 163", "lattice": [[-1.387, 0.489, 5.016], [-1.882, -3.951, -2.859], [7.744, -5.635, 2.690]], "species": ["O", "O", "O", "O", "O", "O", "O", "O", "O", "O", "O", "O", "Si", "Si", "Ca", "Ca", "U", "U"], "fractional_positions": [[0.040, 0.654, 0.853], [0.386, 0.040, 0.147], [0.346, 0.386, 0.853], [0.386, 0.346, 0.353], [0.614, 0.654, 0.647], [0.040, 0.386, 0.647], [0.960, 0.346, 0.147], [0.346, 0.960, 0.647], [0.654, 0.040, 0.353], [0.654, 0.614, 0.147], [0.960, 0.614, 0.353], [0.614, 0.960, 0.853], [0.667, 0.333, 0.250], [0.333, 0.667, 0.750], [0.000, 0.000, 0.500], [0.000, 0.000, 0.000], [0.333, 0.667, 0.250], [0.667, 0.333, 0.750]]}



[2]
{"formula": "MgTe2Pt", "functional": "PBE", "state": "relaxed", "final_energy_ev_per_atom": -3.7025, "n_ef_per_ev_cell": 2.0, "total_magnetization_mub_per_cell": 0.00, "sg": "Imm2, No. 44", "lattice": [[6.905, -0.011, 0.014], [4.696, 5.062, -0.014], [-5.651, -2.868, 2.741]], "species": ["Mg", "Te", "Te", "Pt"], "fractional_positions": [[0.439, 0.439, 0.000], [0.774, 0.274, 0.500], [0.051, 0.051, 0.000], [0.235, 0.735, 0.500]]}



[3]
{"formula": "Na2La", "functional": "PBE", "state": "relaxed", "final_energy_ev_per_atom": -2.2682, "ef_mev_per_atom": 254, "n_ef_per_ev_cell": 4.8, "relative_energy_kj_per_mol_atoms": 15.22, "total_magnetization_mub_per_cell": 0.00, "sg": "Fd-3m, No. 227", "lattice": [[-3.950, -3.325, -4.265], [-1.253, -6.506, 0.976], [-6.097, -1.982, 1.935]], "species": ["La", "La", "Na", "Na", "Na", "Na"], "fractional_positions": [[0.000, 0.000, 0.000], [0.250, 0.250, 0.250], [0.625, 0.125, 0.625], [0.625, 0.625, 0.625], [0.125, 0.625, 0.625], [0.625, 0.625, 0.125]]}



[4]
{"formula": "Li3HoHg2", "functional": "PBE", "state": "relaxed", "final_energy_ev_per_atom": -2.1213, "ef_mev_per_atom": -301, "n_ef_per_ev_cell": 7.2, "total_magnetization_mub_per_cell": 0.00, "sg": "C2/m, No. 12", "lattice": [[-2.301, 2.048, -2.810], [-0.110, -7.383, -2.198], [-5.552, 3.315, 6.963]], "species": ["Li", "Li", "Li", "Li", "Li", "Li", "Ho", "Ho", "Hg", "Hg", "Hg", "Hg"], "fractional_positions": [[0.740, 0.479, 0.587], [0.425, 0.850, 0.314], [0.260, 0.521, 0.413], [0.936, 0.871, 0.587], [0.575, 0.150, 0.686], [0.064, 0.129, 0.413], [0.123, 0.246, 0.997], [0.877, 0.754, 0.003], [0.205, 0.410, 0.761], [0.424, 0.849, 0.783], [0.795, 0.590, 0.239], [0.576, 0.151, 0.217]]}



[5]
{"formula": "NaZrHg2", "functional": "PBE", "state": "relaxed", "final_energy_ev_per_atom": -2.3652, "ef_mev_per_atom": 252, "n_ef_per_ev_cell": 6.8, "total_magnetization_mub_per_cell": 0.00, "sg": "I-42d, No. 122", "lattice": [[-2.261, 5.421, 5.112], [-7.263, -2.798, -0.246], [-4.039, -0.791, 4.982]], "species": ["Na", "Na", "Zr", "Zr", "Hg", "Hg", "Hg", "Hg"], "fractional_positions": [[0.250, 0.750, 0.500], [0.500, 0.500, 0.000], [0.000, 0.000, 0.000], [0.750, 0.250, 0.500], [0.875, 0.879, 0.750], [0.375, 0.371, 0.750], [0.629, 0.125, 0.250], [0.121, 0.625, 0.250]]}



[6]
{"formula": "LaTc2Ru", "functional": "PBE", "state": "relaxed", "final_energy_ev_per_atom": -8.3825, "ef_mev_per_atom": 351, "n_ef_per_ev_cell": 5.1, "relative_energy_kj_per_mol_atoms": 10.45, "total_magnetization_mub_per_cell": 0.00, "sg": "Cm, No. 8", "lattice": [[4.885, -0.021, 0.008], [3.864, 2.989, 0.008], [1.603, 0.544, 5.340]], "species": ["La", "Ru", "Tc", "Tc"], "fractional_positions": [[0.499, 0.499, 0.504], [0.723, 0.723, 0.831], [0.282, 0.282, 0.159], [0.996, 0.996, 0.005]]}



[7]
{"formula": "Nb2MoC2", "functional": "PBE", "state": "relaxed", "final_energy_ev_per_atom": -10.1070, "ef_mev_per_atom": -223, "n_ef_per_ev_cell": 3.7, "total_magnetization_mub_per_cell": 0.00, "sg": "R-3m, No. 166", "lattice": [[3.160, 0.000, 0.000], [1.580, 2.737, 0.000], [1.580, 0.912, 7.393]], "species": ["C", "C", "Nb", "Nb", "Mo"], "fractional_positions": [[0.392, 0.392, 0.825], [0.608, 0.608, 0.175], [0.777, 0.777, 0.669], [0.223, 0.223, 0.331], [0.000, 0.000, 0.000]]}



[8]
{"formula": "Ba3NaGe2O6", "functional": "PBE", "state": "relaxed", "final_energy_ev_per_atom": -5.9261, "n_ef_per_ev_cell": 3.6, "total_magnetization_mub_per_cell": 1.04, "sg": "P-3m1, No. 164", "lattice": [[-1.849, -1.333, -5.604], [-3.088, -2.064, 4.775], [-3.944, 5.746, -0.066]], "species": ["Na", "O", "O", "O", "O", "O", "O", "Ge", "Ge", "Ba", "Ba", "Ba"], "fractional_positions": [[0.000, 0.000, 0.500], [0.178, 0.357, 0.293], [0.822, 0.643, 0.707], [0.822, 0.178, 0.707], [0.357, 0.178, 0.707], [0.178, 0.822, 0.293], [0.643, 0.822, 0.293], [0.333, 0.667, 0.174], [0.667, 0.333, 0.826], [0.000, 0.000, 0.000], [0.667, 0.333, 0.360], [0.333, 0.667, 0.640]]}



[9]
{"formula": "CeCoCl", "functional": "PBE", "state": "relaxed", "final_energy_ev_per_atom": -5.8683, "n_ef_per_ev_cell": 11.7, "total_magnetization_mub_per_cell": 1.02, "sg": "C2/m, No. 12", "lattice": [[3.748, 0.000, 0.000], [0.000, 7.285, 0.618], [-1.874, -0.006, 10.742]], "species": ["Co", "Co", "Co", "Co", "Ce", "Ce", "Ce", "Ce", "Cl", "Cl", "Cl", "Cl"], "fractional_positions": [[0.258, 0.134, 0.516], [0.252, 0.634, 0.503], [0.742, 0.866, 0.484], [0.748, 0.366, 0.497], [0.658, 0.043, 0.316], [0.660, 0.529, 0.321], [0.340, 0.471, 0.679], [0.342, 0.957, 0.684], [0.435, 0.202, 0.870], [0.091, 0.300, 0.183], [0.909, 0.700, 0.817], [0.565, 0.798, 0.130]]}



[10]
{"formula": "Ni4GeSb", "functional": "PBE", "state": "relaxed", "final_energy_ev_per_atom": -5.5177, "n_ef_per_ev_cell": 8.4, "relative_energy_kj_per_mol_atoms": 0.00, "total_magnetization_mub_per_cell": 0.00, "sg": "Cmcm, No. 63", "lattice": [[-2.352, -2.760, -0.874], [3.070, -1.374, -3.923], [5.365, -3.804, 5.532]], "species": ["Ni", "Ni", "Ni", "Ni", "Ni", "Ni", "Ni", "Ni", "Sb", "Sb", "Ge", "Ge"], "fractional_positions": [[0.578, 0.250, 0.155], [0.422, 0.750, 0.845], [0.000, 0.500, 0.000], [0.158, 0.011, 0.316], [0.842, 0.989, 0.684], [0.158, 0.489, 0.316], [0.842, 0.511, 0.684], [0.000, 0.000, 0.000], [0.418, 0.250, 0.835], [0.582, 0.750, 0.165], [0.725, 0.250, 0.450], [0.275, 0.750, 0.550]]}



[11]
{"formula": "CdInSi2", "functional": "PBE", "state": "relaxed", "final_energy_ev_per_atom": -2.9894, "n_ef_per_ev_cell": 6.0, "relative_energy_kj_per_mol_atoms": 35.02, "total_magnetization_mub_per_cell": 0.00, "sg": "I-42d, No. 122", "lattice": [[6.436, 0.000, 0.000], [0.000, 6.436, 0.000], [3.218, 3.218, 5.268]], "species": ["Si", "Si", "Si", "Si", "In", "In", "Cd", "Cd"], "fractional_positions": [[0.875, 0.874, 0.750], [0.126, 0.625, 0.250], [0.624, 0.125, 0.250], [0.375, 0.376, 0.750], [0.000, 0.000, 0.000], [0.750, 0.250, 0.500], [0.250, 0.750, 0.500], [0.500, 0.500, 0.000]]}



[12]
{"formula": "LaEr5Al6", "functional": "PBE", "state": "relaxed", "final_energy_ev_per_atom": -4.5655, "ef_mev_per_atom": -382, "n_ef_per_ev_cell": 3.7, "total_magnetization_mub_per_cell": 0.00, "sg": "Immm, No. 71", "lattice": [[4.915, 0.021, -1.434], [-0.982, 6.286, -3.273], [-0.089, 0.517, 8.839]], "species": ["Er", "Er", "Er", "Er", "Er", "Al", "Al", "Al", "Al", "Al", "Al", "La"], "fractional_positions": [[0.669, 0.669, 0.339], [0.331, 0.331, 0.661], [0.339, 0.839, 0.678], [0.000, 0.500, 0.000], [0.661, 0.161, 0.322], [0.172, 0.432, 0.343], [0.500, 0.729, 0.000], [0.828, 0.568, 0.657], [0.500, 0.271, 0.000], [0.828, 0.089, 0.657], [0.172, 0.911, 0.343], [0.000, 0.000, 0.000]]}



[13]
{"formula": "CeTiPd2", "functional": "PBE", "state": "relaxed", "final_energy_ev_per_atom": -6.5142, "ef_mev_per_atom": -461, "n_ef_per_ev_cell": 6.2, "relative_energy_kj_per_mol_atoms": 8.54, "total_magnetization_mub_per_cell": 2.02, "sg": "P4/mmm, No. 123", "lattice": [[3.566, 0.000, 0.000], [0.000, 4.660, 0.000], [0.000, 0.000, 4.660]], "species": ["Ce", "Pd", "Pd", "Ti"], "fractional_positions": [[0.500, 0.500, 0.500], [0.000, 0.500, 0.000], [0.000, 0.000, 0.500], [0.500, 0.000, 0.000]]}



[14]
{"formula": "TcAgPd2", "functional": "PBE", "state": "relaxed", "final_energy_ev_per_atom": -5.5511, "ef_mev_per_atom": 350, "n_ef_per_ev_cell": 4.0, "relative_energy_kj_per_mol_atoms": 31.56, "total_magnetization_mub_per_cell": 3.33, "sg": "Fm-3m, No. 225", "lattice": [[0.000, 3.189, 3.189], [3.189, 0.000, 3.189], [3.189, 3.189, 0.000]], "species": ["Pd", "Pd", "Tc", "Ag"], "fractional_positions": [[0.250, 0.250, 0.250], [0.750, 0.750, 0.750], [0.000, 0.000, 0.000], [0.500, 0.500, 0.500]]}



[15]
{"formula": "CaAcCdGe", "functional": "PBE", "state": "relaxed", "final_energy_ev_per_atom": -3.3572, "ef_mev_per_atom": -447, "n_ef_per_ev_cell": 3.0, "total_magnetization_mub_per_cell": 0.00, "sg": "F-43m, No. 216", "lattice": [[-0.219, 5.342, 1.199], [-0.921, 1.615, 5.154], [4.024, 2.323, 2.903]], "species": ["Ge", "Ac", "Cd", "Ca"], "fractional_positions": [[0.250, 0.250, 0.250], [0.000, 0.000, 0.000], [0.750, 0.750, 0.750], [0.500, 0.500, 0.500]]}



[16]
{"formula": "Ac3PRu", "functional": "PBE", "state": "relaxed", "final_energy_ev_per_atom": -5.5616, "ef_mev_per_atom": -159, "n_ef_per_ev_cell": 3.9, "total_magnetization_mub_per_cell": 0.00, "sg": "Pm-3m, No. 221", "lattice": [[5.612, 0.000, 0.000], [0.000, 5.612, 0.000], [0.000, 0.000, 5.612]], "species": ["P", "Ac", "Ac", "Ac", "Ru"], "fractional_positions": [[0.500, 0.500, 0.500], [0.500, 0.000, 0.000], [0.000, 0.000, 0.500], [0.000, 0.500, 0.000], [0.000, 0.000, 0.000]]}



[17]
{"formula": "NaNdIn", "functional": "PBE", "state": "relaxed", "final_energy_ev_per_atom": -3.0284, "ef_mev_per_atom": -87, "n_ef_per_ev_cell": 3.7, "relative_energy_kj_per_mol_atoms": 7.88, "total_magnetization_mub_per_cell": 0.00, "sg": "I4mm, No. 107", "lattice": [[-1.618, -2.080, -2.308], [1.461, -2.806, 1.505], [-5.804, 1.870, 5.043]], "species": ["In", "Nd", "Na"], "fractional_positions": [[0.951, 0.951, 0.902], [0.598, 0.598, 0.196], [0.301, 0.301, 0.602]]}



[18]
{"formula": "RbSnPb4", "functional": "PBE", "state": "relaxed", "final_energy_ev_per_atom": -3.3198, "ef_mev_per_atom": -19, "n_ef_per_ev_cell": 3.6, "relative_energy_kj_per_mol_atoms": 0.11, "total_magnetization_mub_per_cell": 0.00, "sg": "P-1, No. 2", "lattice": [[6.202, 0.374, -0.022], [0.309, 6.203, -0.032], [-3.198, -3.210, 11.112]], "species": ["Pb", "Pb", "Pb", "Pb", "Pb", "Pb", "Pb", "Pb", "Sn", "Sn", "Rb", "Rb"], "fractional_positions": [[0.595, 0.593, 0.648], [0.053, 0.054, 0.647], [0.824, 0.399, 0.223], [0.176, 0.601, 0.777], [0.599, 0.174, 0.777], [0.947, 0.946, 0.353], [0.401, 0.826, 0.223], [0.405, 0.407, 0.352], [0.000, 0.500, 0.500], [0.500, 0.000, 0.500], [0.227, 0.228, 0.000], [0.773, 0.772, 0.000]]}



[19]
{"formula": "BeCrBr2", "functional": "PBE", "state": "relaxed", "final_energy_ev_per_atom": -3.7651, "n_ef_per_ev_cell": 1.7, "relative_energy_kj_per_mol_atoms": 46.50, "total_magnetization_mub_per_cell": 4.92, "sg": "C2/m, No. 12", "lattice": [[5.425, 0.137, 0.298], [-2.785, 4.315, 0.490], [-0.144, 2.022, 4.387]], "species": ["Br", "Br", "Be", "Cr"], "fractional_positions": [[0.500, 0.000, 0.500], [0.000, 0.000, 0.000], [0.500, 0.500, 0.000], [0.000, 0.500, 0.500]]}



[20]
{"formula": "YCu2Pt2", "functional": "PBE", "state": "relaxed", "final_energy_ev_per_atom": -5.7935, "ef_mev_per_atom": -446, "n_ef_per_ev_cell": 3.2, "relative_energy_kj_per_mol_atoms": 13.85, "total_magnetization_mub_per_cell": 0.06, "sg": "P4/mbm, No. 127", "lattice": [[-3.892, -6.108, 1.514], [2.828, -3.287, -5.996], [2.298, -1.053, 1.661]], "species": ["Cu", "Cu", "Cu", "Cu", "Pt", "Pt", "Pt", "Pt", "Y", "Y"], "fractional_positions": [[0.158, 0.658, 0.500], [0.342, 0.158, 0.500], [0.842, 0.342, 0.500], [0.658, 0.842, 0.500], [0.638, 0.138, 0.000], [0.362, 0.862, 0.000], [0.862, 0.638, 0.000], [0.138, 0.362, 0.000], [0.000, 0.000, 0.000], [0.500, 0.500, 0.000]]}